# Hf3ZrSb PBE optimized geometry
# **Uncorrected formation energy**: 1102 meV per atom
# **Crystal system**: cubic
# **Polymorph energy (0 for the lowest one)**: 1.2386 eV/atom
# **Volume**: 27.0 Å³/atom
data_Hf3ZrSb
_symmetry_space_group_name_H-M 'P m -3 m'
_symmetry_Int_Tables_number 221
_symmetry_space_group_name_Hall '-P 4 2 3'
_cell_length_a 5.133
_cell_length_b 5.133
_cell_length_c 5.133
_cell_angle_alpha 90.00
_cell_angle_beta 90.00
_cell_angle_gamma 90.00
loop_
_atom_site_label
_atom_site_type_symbol
_atom_site_fract_x
_atom_site_fract_y
_atom_site_fract_z
Hf1 Hf 0.000 0.000 0.500
Zr1 Zr 0.000 0.000 0.000
Sb1 Sb 0.500 0.500 0.500

=====

# NpTl2F8 PBE optimized geometry
# **Uncorrected formation energy**: -2597 meV per atom
# **Crystal system**: triclinic
# **Polymorph energy (0 for the lowest one)**: 0.0000 eV/atom
# **Volume**: 22.6 Å³/atom
data_NpTl2F8
_symmetry_space_group_name_H-M 'P -1'
_symmetry_Int_Tables_number 2
_symmetry_space_group_name_Hall '-P 1'
_cell_length_a 4.919
_cell_length_b 7.296
_cell_length_c 7.323
_cell_angle_alpha 71.39
_cell_angle_beta 90.00
_cell_angle_gamma 88.69
loop_
_atom_site_label
_atom_site_type_symbol
_atom_site_fract_x
_atom_site_fract_y
_atom_site_fract_z
Np1 Np 0.000 0.000 0.000
Tl1 Tl 0.260 0.375 0.377
F1 F 0.203 0.090 0.742
F2 F 0.207 0.738 0.081
F3 F 0.242 0.589 0.584
F4 F 0.284 0.118 0.129

=====

# LiTlMo2 PBE optimized geometry
# **Crystal system**: orthorhombic
# **Polymorph energy (0 for the lowest one)**: 0.4978 eV/atom
# **Volume**: 17.7 Å³/atom
data_LiTlMo2
_symmetry_space_group_name_H-M 'C m m m'
_symmetry_Int_Tables_number 65
_symmetry_space_group_name_Hall '-C 2 2'
_cell_length_a 3.353
_cell_length_b 4.427
_cell_length_c 9.544
_cell_angle_alpha 90.00
_cell_angle_beta 90.00
_cell_angle_gamma 90.00
loop_
_atom_site_label
_atom_site_type_symbol
_atom_site_fract_x
_atom_site_fract_y
_atom_site_fract_z
Li1 Li 0.000 0.000 0.000
Tl1 Tl 0.000 0.000 0.500
Mo1 Mo 0.000 0.500 0.244

=====

# MgCu2Ag2 PBE optimized geometry
# **Crystal system**: tetragonal
# **Polymorph energy (0 for the lowest one)**: 0.0529 eV/atom
# **Volume**: 16.7 Å³/atom
data_MgCu2Ag2
_symmetry_space_group_name_H-M 'P 4/m b m'
_symmetry_Int_Tables_number 127
_symmetry_space_group_name_Hall '-P 4 2ab'
_cell_length_a 7.480
_cell_length_b 7.480
_cell_length_c 2.978
_cell_angle_alpha 90.00
_cell_angle_beta 90.00
_cell_angle_gamma 90.00
loop_
_atom_site_label
_atom_site_type_symbol
_atom_site_fract_x
_atom_site_fract_y
_atom_site_fract_z
Mg1 Mg 0.000 0.000 0.000
Cu1 Cu 0.163 0.337 0.500
Ag1 Ag 0.135 0.635 0.000

=====

# SrTi2SiPd PBE optimized geometry
# **Uncorrected formation energy**: 1853 meV per atom
# **Crystal system**: tetragonal
# **Volume**: 23.7 Å³/atom
data_SrTi2SiPd
_symmetry_space_group_name_H-M 'P 4/m m m'
_symmetry_Int_Tables_number 123
_symmetry_space_group_name_Hall '-P 4 2'
_cell_length_a 4.931
_cell_length_b 4.931
_cell_length_c 4.878
_cell_angle_alpha 90.00
_cell_angle_beta 90.00
_cell_angle_gamma 90.00
loop_
_atom_site_label
_atom_site_type_symbol
_atom_site_fract_x
_atom_site_fract_y
_atom_site_fract_z
Sr1 Sr 0.000 0.000 0.000
Ti1 Ti 0.000 0.500 0.000
Si1 Si 0.500 0.500 0.500
Pd1 Pd 0.000 0.000 0.500

=====

# UMnSiTc PBE optimized geometry
# **Uncorrected formation energy**: -117 meV per atom
# **Crystal system**: cubic
# **Volume**: 15.5 Å³/atom
data_UMnSiTc
_symmetry_space_group_name_H-M 'F -4 3 m'
_symmetry_Int_Tables_number 216
_symmetry_space_group_name_Hall 'F -4 2 3'
_cell_length_a 6.288
_cell_length_b 6.288
_cell_length_c 6.288
_cell_angle_alpha 90.00
_cell_angle_beta 90.00
_cell_angle_gamma 90.00
loop_
_atom_site_label
_atom_site_type_symbol
_atom_site_fract_x
_atom_site_fract_y
_atom_site_fract_z
U1 U 0.000 0.000 0.000
Mn1 Mn 0.250 0.250 0.750
Si1 Si 0.000 0.000 0.500
Tc1 Tc 0.250 0.250 0.250

=====

# LaCo2Ru PBE optimized geometry
# **E_tot**: -85.54 eV for the cell shown
# **Crystal system**: trigonal
# **Volume**: 19.1 Å³/atom
data_LaCo2Ru
_symmetry_space_group_name_H-M 'R 3 m'
_symmetry_Int_Tables_number 160
_symmetry_space_group_name_Hall 'R 3 -2"'
_cell_length_a 4.1976
_cell_length_b 4.1976
_cell_length_c 15.0311
_cell_angle_alpha 90.00
_cell_angle_beta 90.00
_cell_angle_gamma 120.00
loop_
_atom_site_label
_atom_site_type_symbol
_atom_site_fract_x
_atom_site_fract_y
_atom_site_fract_z
La1 La 0.0000 0.0000 0.0000
Co1 Co 0.0000 0.0000 0.5006
Co2 Co 0.0000 0.0000 0.8133
Ru1 Ru 0.0000 0.0000 0.1863

=====

# TlB3H12 PBE optimized geometry
# **E_tot**: -366.92 eV for the cell shown
# **Crystal system**: trigonal
# **Volume**: 11.0 Å³/atom
data_TlB3H12
_symmetry_space_group_name_H-M 'R 3 c'
_symmetry_Int_Tables_number 161
_symmetry_space_group_name_Hall 'R 3 -2"c'
_cell_length_a 7.7194
_cell_length_b 7.7194
_cell_length_c 20.3923
_cell_angle_alpha 90.00
_cell_angle_beta 90.00
_cell_angle_gamma 120.00
loop_
_atom_site_label
_atom_site_type_symbol
_atom_site_fract_x
_atom_site_fract_y
_atom_site_fract_z
Tl1 Tl 0.0000 0.0000 0.0000
B1 B 0.0020 0.3154 0.0003
H1 H 0.0215 0.2004 0.6588
H2 H 0.0299 0.2482 0.9470
H3 H 0.1140 0.4195 0.7201
H4 H 0.1599 0.4665 0.0084